DFT (GGA-PBE) results for a geometry-optimized Fe3Pt5 structure.

Computed properties:
- Energy: -110.53 eV per cell
- ΔE_f: 0.041 eV/atom
- Symmetry: P6_3/mcm, No. 193

Cell: 7.367 7.369 5.155 Å, 90.00 90.00 60.01°
Each line ends with the local moment (μB).
Atoms (fractional coordinates):
Pt 0.000 0.222 0.750  0.34
Fe 0.417 0.000 0.750  3.11
Fe 0.583 0.000 0.250  3.11
Pt 0.333 0.333 0.500  0.48
Pt 0.778 0.222 0.250  0.34
Fe 0.000 0.583 0.750  3.11
Pt 0.778 0.000 0.750  0.34
Pt 0.222 0.000 0.250  0.34
Fe 0.417 0.583 0.250  3.11
Pt 0.667 0.667 0.500  0.48
Pt 0.333 0.333 0.000  0.48
Fe 0.583 0.417 0.750  3.11
Fe 0.000 0.417 0.250  3.11
Pt 0.000 0.778 0.250  0.34
Pt 0.667 0.667 0.000  0.48
Pt 0.222 0.778 0.750  0.34

DFT (GGA-PBE) results for a geometry-optimized ThTcP structure.

Computed properties:
- Energy: -25.31 eV per cell
- ΔE_f: -0.705 eV/atom
- Symmetry: P3m1, No. 156

Cell: 4.092 4.155 4.155 Å, 120.00 90.00 90.00°
Atoms (fractional coordinates):
Th 0.666 0.667 0.333
Tc 0.168 0.333 0.667
P 0.166 0.000 0.000

DFT (GGA-PBE) results for a geometry-optimized HoEr3Bi2C structure.

Computed properties:
- Energy: -39.66 eV per cell
- ΔE_f: -0.630 eV/atom
- Symmetry: Immm, No. 71

Cell: 4.832 4.809 8.637 Å, 106.17 106.25 90.00°
Atoms (fractional coordinates):
C 0.000 0.000 0.000
Ho 0.500 0.000 0.000
Bi 0.355 0.355 0.709
Er 0.848 0.848 0.696
Er 0.152 0.152 0.304
Er 0.000 0.500 0.000
Bi 0.645 0.645 0.291

DFT (GGA-PBE) results for a geometry-optimized Ba2Sr7 structure.

Computed properties:
- Energy relative to the lowest polymorph listed for this composition: 0.000 eV per atom
- Energy: -15.59 eV per cell
- ΔE_f: 0.003 eV/atom
- Symmetry: P-31m, No. 162

Cell: 7.460 7.460 10.538 Å, 90.00 90.00 120.00°
Atoms (fractional coordinates):
Sr 0.000 0.331 0.663
Sr 0.331 0.000 0.663
Sr 0.000 0.000 0.000
Sr 0.669 0.000 0.337
Sr 0.669 0.669 0.663
Ba 0.667 0.333 0.000
Ba 0.333 0.667 0.000
Sr 0.000 0.669 0.337
Sr 0.331 0.331 0.337

DFT (GGA-PBE) results for a geometry-optimized PmHo12In3 structure.

Computed properties:
- Energy: -70.88 eV per cell
- ΔE_f: -0.187 eV/atom
- Symmetry: P4/mmm, No. 123

Cell: 4.845 4.845 19.751 Å, 90.00 90.00 90.00°
Atoms (fractional coordinates):
Ho 0.000 0.500 0.868
In 0.000 0.000 0.743
Ho 0.500 0.000 0.868
Ho 0.500 0.500 0.500
Ho 0.500 0.000 0.378
Ho 0.000 0.500 0.622
Ho 0.500 0.500 0.000
Ho 0.000 0.500 0.132
Ho 0.500 0.000 0.132
Ho 0.500 0.000 0.622
Ho 0.500 0.500 0.744
In 0.000 0.000 0.500
Pm 0.000 0.000 0.000
Ho 0.000 0.500 0.378
Ho 0.500 0.500 0.256
In 0.000 0.000 0.257

DFT (GGA-PBE) results for a geometry-optimized Pr2Ho2Er2In structure.

Computed properties:
- Energy: -30.70 eV per cell
- ΔE_f: -0.018 eV/atom
- Symmetry: C2/m, No. 12

Cell: 3.511 6.120 11.673 Å, 111.52 90.00 106.67°
Atoms (fractional coordinates):
Pr 0.534 0.068 0.758
Pr 0.466 0.932 0.242
Er 0.326 0.653 0.916
In 0.000 0.000 0.500
Ho 0.751 0.502 0.633
Ho 0.249 0.498 0.367
Er 0.674 0.347 0.084